Material: RbIn2Pb2
Method: DFT, SCAN
State: PBEsol geometry

abc: 9.4374 9.4374 3.5143
angles: 90.00 90.00 90.00
Fractional positions:
Rb1 0.0000 0.0000 0.0000
Rb2 0.5000 0.5000 0.0000
In1 0.1506 0.3494 0.5000
In2 0.3494 0.8494 0.5000
In3 0.6506 0.1506 0.5000
In4 0.8494 0.6506 0.5000
Pb1 0.1376 0.6376 0.0000
Pb2 0.3624 0.1376 0.0000
Pb3 0.6376 0.8624 0.0000
Pb4 0.8624 0.3624 0.0000

Calculated values
The energy above the most stable polymorph in this dataset is 160 meV per atom.